# SmPI, optimized geometry, DFT GGA-PBE
data_SmPI
_cell_length_a 4.099
_cell_length_b 5.017
_cell_length_c 11.683
_cell_angle_alpha 78.39
_cell_angle_beta 89.65
_cell_angle_gamma 67.42
_space_group_name_H-M_alt 'P -1'
_space_group_IT_number 2
loop_
_space_group_symop_operation_xyz
'x,y,z'
'-x,-y,-z'
loop_
_atom_site_label
_atom_site_type_symbol
_atom_site_fract_x
_atom_site_fract_y
_atom_site_fract_z
Sm1 Sm 0.167 0.178 0.132
P1 P 0.482 0.621 0.070
I1 I 0.198 0.129 0.678
# V = 108.3 Å³/f.u.
# E_tot = -15.34 eV per formula unit